(1)
VASP calculation (PBE-GGA) on a relaxed structure of Sr2CaHg.

Computed properties:
Energy relative to the elements = -0.28 eV per atom
M_tot = 0.000 μB per atom
Final energy = -1.70 eV per atom

Cell lengths 4.2908, 7.4861, 10.6381 Å; angles 90.00, 90.00, 106.71 degrees
Last column: nearest neighbours and their distance in Å.
Sites, in units of the cell vectors:
1 Sr 0.3615 0.7225 0.5626  3 Hg 3.43-3.61
2 Sr 0.6385 0.2775 0.4374  3 Hg 3.43-3.61
3 Sr 0.3615 0.7225 0.9374  3 Hg 3.43-3.61
4 Sr 0.6385 0.2775 0.0626  3 Hg 3.43-3.61
5 Ca 0.9293 0.8579 0.2500  2 Hg 3.20
6 Ca 0.0707 0.1421 0.7500  2 Hg 3.20
7 Hg 0.7362 0.4728 0.7500  2 Ca 3.20, 4 Sr 3.43
8 Hg 0.2638 0.5272 0.2500  2 Ca 3.20, 4 Sr 3.43

***

(2)
VASP calculation (PBE-GGA) on a relaxed structure of Sr2CaHg2.

Computed properties:
Energy relative to the elements = -0.32 eV per atom
M_tot = 0.000 μB per atom
Final energy = -1.51 eV per atom

Cell lengths 9.4876, 9.4876, 3.7786 Å; angles 90.00, 90.00, 90.00 degrees
Last column: nearest neighbours and their distance in Å.
Sites, in units of the cell vectors:
1 Sr 0.3637 0.8637 0.0000  6 Hg 3.30-3.41, 1 Sr 3.66, 2 Ca 3.69
2 Sr 0.8637 0.6363 0.0000  6 Hg 3.30-3.41, 1 Sr 3.66, 2 Ca 3.69
3 Sr 0.6363 0.1363 0.0000  6 Hg 3.30-3.41, 1 Sr 3.66, 2 Ca 3.69
4 Sr 0.1363 0.3637 0.0000  6 Hg 3.30-3.41, 1 Sr 3.66, 2 Ca 3.69
5 Ca 0.0000 0.0000 0.0000  4 Sr 3.69, 2 Ca 3.78, 8 Hg 4.03
6 Ca 0.5000 0.5000 0.0000  4 Sr 3.69, 2 Ca 3.78, 8 Hg 4.03
7 Hg 0.1618 0.6618 0.5000  6 Sr 3.30-3.41
8 Hg 0.6618 0.8382 0.5000  6 Sr 3.30-3.41
9 Hg 0.8382 0.3382 0.5000  6 Sr 3.30-3.41
10 Hg 0.3382 0.1618 0.5000  6 Sr 3.30-3.41

***

(3)
VASP calculation (PBE-GGA) on a relaxed structure of SrCaHg.

Computed properties:
Energy relative to the elements = -0.37 eV per atom
M_tot = 0.000 μB per atom
Final energy = -1.70 eV per atom

Cell lengths 7.4164, 7.4164, 3.9441 Å; angles 74.58, 74.58, 30.84 degrees
Last column: nearest neighbours and their distance in Å.
Sites, in units of the cell vectors:
1 Sr 0.6924 0.6924 0.3076  4 Hg 3.46, 1 Ca 3.76
2 Ca 0.9658 0.9658 0.0342  4 Hg 3.27
3 Hg 0.3418 0.3418 0.6582  4 Ca 3.27, 4 Sr 3.46

***

(4)
VASP calculation (PBE-GGA) on a relaxed structure of SrCa2Hg2.

Computed properties:
Energy relative to the elements = -0.40 eV per atom
M_tot = 0.000 μB per atom
Final energy = -1.66 eV per atom

Cell lengths 5.4704, 6.1765, 10.0858 Å; angles 86.39, 90.00, 90.00 degrees
Last column: nearest neighbours and their distance in Å.
Sites, in units of the cell vectors:
1 Sr 0.2500 0.6142 0.2399  6 Hg 3.39-3.58
2 Sr 0.7500 0.3858 0.7601  6 Hg 3.39-3.58
3 Ca 0.2500 0.8474 0.8748  5 Hg 3.16-3.36
4 Ca 0.7500 0.1526 0.1252  5 Hg 3.16-3.36
5 Ca 0.2500 0.1744 0.5229  4 Hg 3.09-3.23
6 Ca 0.7500 0.8256 0.4771  4 Hg 3.09-3.23
7 Hg 0.2500 0.6557 0.5914  5 Ca 3.09-3.23
8 Hg 0.7500 0.3443 0.4086  5 Ca 3.09-3.23
9 Hg 0.2500 0.3347 0.9609  4 Ca 3.18-3.36, 3 Sr 3.39-3.41, 2 Hg 3.53
10 Hg 0.7500 0.6653 0.0391  4 Ca 3.18-3.36, 3 Sr 3.39-3.41, 2 Hg 3.53

***

(5)
VASP calculation (PBE-GGA) on a relaxed structure of SrCa2Hg.

Computed properties:
Energy relative to the elements = -0.19 eV per atom
M_tot = 0.000 μB per atom
Final energy = -1.69 eV per atom

Cell lengths 11.2241, 11.2241, 11.2241 Å; angles 21.12, 21.12, 21.12 degrees
Last column: nearest neighbours and their distance in Å.
Sites, in units of the cell vectors:
1 Sr 0.7666 0.7666 0.7666  3 Hg 3.32
2 Ca 0.9964 0.9964 0.9964  9 Ca 3.97-4.11, 3 Sr 4.15
3 Ca 0.2332 0.2332 0.2332  3 Hg 3.15
4 Hg 0.5038 0.5038 0.5038  3 Ca 3.15, 3 Sr 3.32

***

(6)
VASP calculation (PBE-GGA) on a relaxed structure of SrCa2Hg.

Computed properties:
Energy relative to the elements = -0.30 eV per atom
M_tot = 0.000 μB per atom
Final energy = -1.79 eV per atom

Cell lengths 5.0107, 6.7064, 9.6560 Å; angles 90.00, 90.00, 112.07 degrees
Last column: nearest neighbours and their distance in Å.
Sites, in units of the cell vectors:
1 Sr 0.9420 0.8844 0.2500  3 Hg 3.59-3.63
2 Sr 0.0580 0.1156 0.7500  3 Hg 3.59-3.63
3 Ca 0.3486 0.6973 0.5562  3 Hg 3.28-3.30, 2 Ca 3.67
4 Ca 0.6514 0.3027 0.4438  3 Hg 3.28-3.30, 2 Ca 3.67
5 Ca 0.3486 0.6973 0.9438  3 Hg 3.28-3.30, 2 Ca 3.67
6 Ca 0.6514 0.3027 0.0562  3 Hg 3.28-3.30, 2 Ca 3.67
7 Hg 0.7681 0.5375 0.7500  6 Ca 3.28-3.30, 3 Sr 3.59-3.63
8 Hg 0.2319 0.4625 0.2500  6 Ca 3.28-3.30, 3 Sr 3.59-3.63

***

(7)
VASP calculation (PBE-GGA) on a relaxed structure of SrCaHg2.

Computed properties:
Energy relative to the elements = -0.28 eV per atom
M_tot = 0.000 μB per atom
Final energy = -1.35 eV per atom

Cell lengths 5.3573, 5.3573, 5.3573 Å; angles 60.00, 60.00, 60.00 degrees
Last column: nearest neighbours and their distance in Å.
Sites, in units of the cell vectors:
1 Sr 0.7500 0.7500 0.7500  4 Hg 3.28, 4 Ca 3.28
2 Ca 0.5000 0.5000 0.5000  4 Sr 3.28, 4 Hg 3.28
3 Hg 0.0000 0.0000 0.0000  4 Hg 3.28, 4 Sr 3.28
4 Hg 0.2500 0.2500 0.2500  4 Ca 3.28, 4 Hg 3.28

***

(8)
VASP calculation (PBE-GGA) on a relaxed structure of Sr2CaHg.

Computed properties:
Energy relative to the elements = -0.10 eV per atom
M_tot = 0.000 μB per atom
Final energy = -1.52 eV per atom

Cell lengths 9.9476, 9.9476, 7.8620 Å; angles 50.76, 50.76, 90.00 degrees
Last column: nearest neighbours and their distance in Å.
Sites, in units of the cell vectors:
1 Sr 0.6964 0.1250 0.2500  2 Hg 3.18
2 Sr 0.0536 0.6250 0.2500  2 Hg 3.18
3 Sr 0.3750 0.3036 0.7500  2 Hg 3.18
4 Sr 0.8750 0.9464 0.7500  2 Hg 3.18
5 Ca 0.5000 0.5000 0.0000  2 Hg 3.51
6 Ca 0.2500 0.7500 0.5000  2 Hg 3.51
7 Hg 0.0000 0.0000 0.0000  4 Sr 3.18, 2 Ca 3.51
8 Hg 0.7500 0.2500 0.5000  4 Sr 3.18, 2 Ca 3.51

***

(9)
VASP calculation (PBE-GGA) on a relaxed structure of SrCa4Hg4.

Computed properties:
Energy relative to the elements = -0.38 eV per atom
M_tot = 0.000 μB per atom
Final energy = -1.59 eV per atom

Cell lengths 6.2558, 10.0785, 10.0785 Å; angles 90.00, 90.00, 90.00 degrees
Last column: nearest neighbours and their distance in Å.
Sites, in units of the cell vectors:
1 Sr 0.0000 0.0000 0.0000  4 Hg 3.30
2 Sr 0.5000 0.5000 0.5000  4 Hg 3.30
3 Ca 0.4056 0.3352 0.8999  5 Hg 3.12-3.24
4 Ca 0.9056 0.6001 0.8352  5 Hg 3.12-3.24
5 Ca 0.4056 0.6648 0.1001  5 Hg 3.12-3.24
6 Ca 0.0944 0.1648 0.6001  5 Hg 3.12-3.24
7 Ca 0.5944 0.8999 0.6648  5 Hg 3.12-3.24
8 Ca 0.0944 0.8352 0.3999  5 Hg 3.12-3.24
9 Ca 0.9056 0.3999 0.1648  5 Hg 3.12-3.24
10 Ca 0.5944 0.1001 0.3352  5 Hg 3.12-3.24
11 Hg 0.5950 0.7913 0.3627  1 Hg 3.10, 5 Ca 3.12-3.24, 1 Sr 3.30
12 Hg 0.5950 0.2087 0.6373  1 Hg 3.10, 5 Ca 3.12-3.24, 1 Sr 3.30
13 Hg 0.0950 0.8627 0.7087  1 Hg 3.10, 5 Ca 3.12-3.24, 1 Sr 3.30
14 Hg 0.9050 0.2913 0.8627  1 Hg 3.10, 5 Ca 3.12-3.24, 1 Sr 3.30
15 Hg 0.9050 0.7087 0.1373  1 Hg 3.10, 5 Ca 3.12-3.24, 1 Sr 3.30
16 Hg 0.4050 0.3627 0.2087  1 Hg 3.10, 5 Ca 3.12-3.24, 1 Sr 3.30
17 Hg 0.4050 0.6373 0.7913  1 Hg 3.10, 5 Ca 3.12-3.24, 1 Sr 3.30
18 Hg 0.0950 0.1373 0.2913  1 Hg 3.10, 5 Ca 3.12-3.24, 1 Sr 3.30

***

(10)
VASP calculation (PBE-GGA) on a relaxed structure of Sr2CaHg.

Computed properties:
Energy relative to the elements = -0.15 eV per atom
M_tot = 0.000 μB per atom
Final energy = -1.57 eV per atom

Cell lengths 9.4249, 5.8656, 4.4683 Å; angles 90.05, 61.63, 128.49 degrees
Last column: nearest neighbours and their distance in Å.
Sites, in units of the cell vectors:
1 Sr 0.0000 0.0000 0.0000  4 Ca 3.69, 4 Hg 3.69
2 Sr 0.5000 0.0000 0.5000  4 Hg 3.69, 4 Ca 3.69
3 Ca 0.0000 0.5000 0.5000  8 Sr 3.69
4 Hg 0.5000 0.5000 0.0000  8 Sr 3.69

***

(11)
VASP calculation (PBE-GGA) on a relaxed structure of SrCaHg.

Computed properties:
Energy relative to the elements = -0.27 eV per atom
M_tot = 0.000 μB per atom
Final energy = -1.60 eV per atom

Cell lengths 5.4791, 5.4791, 5.4791 Å; angles 60.00, 60.00, 60.00 degrees
Last column: nearest neighbours and their distance in Å.
Sites, in units of the cell vectors:
1 Sr 0.0000 0.0000 0.0000  4 Hg 3.36
2 Ca 0.5000 0.5000 0.5000  4 Hg 3.36
3 Hg 0.7500 0.7500 0.7500  4 Sr 3.36, 4 Ca 3.36

***

(12)
VASP calculation (PBE-GGA) on a relaxed structure of Sr2Ca3Hg2.

Computed properties:
Energy relative to the elements = -0.33 eV per atom
M_tot = 0.000 μB per atom
Final energy = -1.76 eV per atom

Cell lengths 4.9059, 6.7247, 9.1602 Å; angles 111.15, 90.00, 111.39 degrees
Last column: nearest neighbours and their distance in Å.
Sites, in units of the cell vectors:
1 Sr 0.8523 0.7046 0.1988  4 Hg 3.55-3.76, 2 Ca 3.92
2 Sr 0.1477 0.2954 0.8012  4 Hg 3.55-3.76, 2 Ca 3.92
3 Ca 0.5000 0.0000 0.0000  4 Hg 3.25
4 Ca 0.6312 0.2624 0.4394  3 Hg 3.28-3.29
5 Ca 0.3688 0.7376 0.5606  3 Hg 3.28-3.29
6 Hg 0.8483 0.6965 0.7866  5 Ca 3.25-3.29, 2 Sr 3.55
7 Hg 0.1517 0.3035 0.2134  5 Ca 3.25-3.29, 2 Sr 3.55

***

(13)
VASP calculation (PBE-GGA) on a relaxed structure of Sr4Ca3Hg.

Computed properties:
Energy relative to the elements = -0.13 eV per atom
M_tot = 0.000 μB per atom
Final energy = -1.75 eV per atom

Cell lengths 4.0761, 4.0761, 21.1974 Å; angles 90.00, 90.00, 90.00 degrees
Last column: nearest neighbours and their distance in Å.
Sites, in units of the cell vectors:
1 Sr 0.0000 0.0000 0.9103  4 Hg 3.45, 1 Sr 3.80
2 Sr 0.0000 0.0000 0.0897  4 Hg 3.45, 1 Sr 3.80
3 Sr 0.0000 0.0000 0.3640  8 Ca 4.08, 4 Sr 4.08
4 Sr 0.0000 0.0000 0.6360  8 Ca 4.08, 4 Sr 4.08
5 Ca 0.5000 0.5000 0.2280  4 Ca 4.08, 8 Sr 4.08-4.11
6 Ca 0.5000 0.5000 0.5000  8 Sr 4.08, 4 Ca 4.08
7 Ca 0.5000 0.5000 0.7720  4 Ca 4.08, 8 Sr 4.08-4.11
8 Hg 0.5000 0.5000 0.0000  8 Sr 3.45

***

(14)
VASP calculation (PBE-GGA) on a relaxed structure of SrCaHg2.

Computed properties:
Energy relative to the elements = -0.37 eV per atom
M_tot = 0.000 μB per atom
Final energy = -1.44 eV per atom

Cell lengths 6.6086, 6.6086, 6.6086 Å; angles 138.59, 138.59, 60.00 degrees
Last column: nearest neighbours and their distance in Å.
Sites, in units of the cell vectors:
1 Sr 0.5000 0.5000 0.0000  8 Hg 3.30-3.69, 4 Ca 3.69
2 Ca 0.7500 0.2500 0.5000  8 Hg 3.30-3.69, 4 Sr 3.69
3 Hg 0.0000 0.0000 0.0000  4 Sr 3.30, 4 Hg 3.69, 4 Ca 3.69
4 Hg 0.2500 0.7500 0.5000  4 Ca 3.30, 4 Sr 3.69, 4 Hg 3.69

***

(15)
VASP calculation (PBE-GGA) on a relaxed structure of Sr3CaHg3.

Computed properties:
Energy relative to the elements = -0.42 eV per atom
M_tot = 0.000 μB per atom
Final energy = -1.56 eV per atom

Cell lengths 6.6126, 6.6126, 6.6126 Å; angles 105.78, 105.78, 105.78 degrees
Last column: nearest neighbours and their distance in Å.
Sites, in units of the cell vectors:
1 Sr 0.5578 0.5578 0.1478  5 Hg 3.35-3.43
2 Sr 0.5578 0.1478 0.5578  5 Hg 3.35-3.43
3 Sr 0.1478 0.5578 0.5578  5 Hg 3.35-3.43
4 Ca 0.9903 0.9903 0.9903  6 Hg 3.25-3.38
5 Hg 0.5139 0.0159 0.0159  2 Ca 3.25-3.38, 5 Sr 3.35-3.43
6 Hg 0.0159 0.0159 0.5139  2 Ca 3.25-3.38, 5 Sr 3.35-3.43
7 Hg 0.0159 0.5139 0.0159  2 Ca 3.25-3.38, 5 Sr 3.35-3.43

***

(16)
VASP calculation (PBE-GGA) on a relaxed structure of SrCaHg.

Computed properties:
Energy relative to the elements = -0.25 eV per atom
M_tot = 0.000 μB per atom
Final energy = -1.58 eV per atom

Cell lengths 5.3934, 5.3934, 4.4502 Å; angles 90.00, 90.00, 120.00 degrees
Last column: nearest neighbours and their distance in Å.
Sites, in units of the cell vectors:
1 Sr 0.3333 0.6667 0.6491  6 Hg 3.69-3.98, 6 Ca 3.82-3.84
2 Ca 0.0000 0.0000 0.1446  3 Hg 3.13
3 Hg 0.6667 0.3333 0.2063  3 Ca 3.13

***

(17)
VASP calculation (PBE-GGA) on a relaxed structure of Sr2CaHg4.

Computed properties:
Energy relative to the elements = -0.39 eV per atom
M_tot = 0.000 μB per atom
Final energy = -1.33 eV per atom

Cell lengths 5.4343, 5.4343, 9.6362 Å; angles 73.62, 73.62, 60.00 degrees
Last column: nearest neighbours and their distance in Å.
Sites, in units of the cell vectors:
1 Sr 0.7544 0.7544 0.7367  8 Hg 3.29-3.47
2 Sr 0.2456 0.2456 0.2633  8 Hg 3.29-3.47
3 Ca 0.0000 0.0000 0.0000  8 Hg 3.27-3.39
4 Hg 0.8762 0.8762 0.3715  4 Sr 3.29-3.33, 1 Ca 3.39
5 Hg 0.1238 0.1238 0.6285  4 Sr 3.29-3.33, 1 Ca 3.39
6 Hg 0.6329 0.6329 0.1013  3 Ca 3.27, 4 Sr 3.32-3.47, 3 Hg 3.64
7 Hg 0.3671 0.3671 0.8987  3 Ca 3.27, 4 Sr 3.32-3.47, 3 Hg 3.64

***

(18)
VASP calculation (PBE-GGA) on a relaxed structure of SrCa2Hg.

Computed properties:
Energy relative to the elements = -0.12 eV per atom
M_tot = 0.000 μB per atom
Final energy = -1.62 eV per atom

Cell lengths 6.7262, 6.7262, 6.7262 Å; angles 135.75, 135.75, 64.37 degrees
Last column: nearest neighbours and their distance in Å.
Sites, in units of the cell vectors:
1 Sr 0.7500 0.2500 0.5000  4 Hg 3.58, 8 Ca 3.81
2 Ca 0.0000 0.0000 0.0000  4 Ca 3.58, 4 Sr 3.81, 4 Hg 3.81
3 Ca 0.5000 0.5000 0.0000  4 Ca 3.58, 4 Hg 3.81, 4 Sr 3.81
4 Hg 0.2500 0.7500 0.5000  4 Sr 3.58, 8 Ca 3.81

***

(19)
VASP calculation (PBE-GGA) on a relaxed structure of SrCa2Hg.

Computed properties:
Energy relative to the elements = -0.27 eV per atom
M_tot = 0.000 μB per atom
Final energy = -1.77 eV per atom

Cell lengths 3.8911, 3.8903, 9.8812 Å; angles 90.00, 90.00, 90.00 degrees
Last column: nearest neighbours and their distance in Å.
Sites, in units of the cell vectors:
1 Sr 0.5000 0.5000 0.7500  4 Sr 3.89, 8 Ca 4.17
2 Ca 0.0000 0.0000 0.0670  4 Hg 3.29, 1 Ca 3.62
3 Ca 0.0000 0.0000 0.4330  4 Hg 3.29, 1 Ca 3.62
4 Hg 0.5000 0.5000 0.2500  8 Ca 3.29

***

(20)
VASP calculation (PBE-GGA) on a relaxed structure of SrCa2Hg.

Computed properties:
Energy relative to the elements = -0.27 eV per atom
M_tot = 0.000 μB per atom
Final energy = -1.77 eV per atom

Cell lengths 3.8864, 3.8864, 9.8753 Å; angles 90.00, 90.00, 90.00 degrees
Last column: nearest neighbours and their distance in Å.
Sites, in units of the cell vectors:
1 Sr 0.5000 0.5000 0.6939  4 Hg 3.45, 1 Ca 3.82
2 Ca 0.0000 0.0000 0.0155  8 Ca 3.89-3.98, 4 Sr 4.20
3 Ca 0.5000 0.5000 0.3074  4 Hg 3.25
4 Hg 0.0000 0.0000 0.4832  4 Ca 3.25, 4 Sr 3.45